#A
Crystalline NbAgTe at its relaxed geometry, computed with PBE.

Its symmetry is F-43m, No. 216. For the calculated volume, the calculation gives 22.93 Å³ per atom.

a = 4.5993 Å, b = 4.5993 Å, c = 4.5993 Å
α = 60.00°, β = 60.00°, γ = 60.00°
Fractional positions:
Te 0.0000 0.0000 0.0000
Nb 0.7500 0.7500 0.7500
Ag 0.2500 0.2500 0.2500

=====

#B
Crystalline NbAgTe at its relaxed geometry, computed with PBE.

Its symmetry is F-43m, No. 216. For the calculated volume, the calculation gives 23.73 Å³ per atom.

a = 4.6522 Å, b = 4.6522 Å, c = 4.6522 Å
α = 60.00°, β = 60.00°, γ = 60.00°
Fractional positions:
Nb 0.0000 0.0000 0.0000
Te 0.7500 0.7500 0.7500
Ag 0.2500 0.2500 0.2500

=====

Energies, relative to the best one, in kJ/mol of atoms: #A 17.3; #B 0.0.